(1)
Computed, not measured: Nd2HoSn3Ir4 after structural relaxation at the GGA-PBE level of DFT.

Results
Spin magnetization = 0.00 Bohr magnetons per cell
ΔE_f = -0.6215 eV/atom

Lattice parameters (Å, degrees): 4.389 4.389 11.621 90.00 90.00 90.00
Fractional coordinates of all 10 atoms:
Nd 0.000 0.500 0.232
Nd 0.500 0.000 0.768
Ho 0.000 0.000 0.500
Sn 0.000 0.500 0.873
Sn 0.500 0.000 0.127
Sn 0.500 0.500 0.500
Ir 0.000 0.000 0.000
Ir 0.000 0.500 0.648
Ir 0.500 0.000 0.352
Ir 0.500 0.500 0.000

(2)
Computed, not measured: NdHoTlIr after structural relaxation at the GGA-PBE level of DFT.

Results
Spin magnetization = 0.00 Bohr magnetons per cell
ΔE_f = -0.4123 eV/atom

Lattice parameters (Å, degrees): 5.174 5.174 5.174 60.00 60.00 60.00
Fractional coordinates of all 4 atoms:
Nd 0.000 0.000 0.000
Ho 0.500 0.500 0.500
Tl 0.250 0.250 0.250
Ir 0.750 0.750 0.750

(3)
Computed, not measured: HoNi4Ir after structural relaxation at the GGA-PBE level of DFT.

Results
Spin magnetization = 1.65 Bohr magnetons per cell
ΔE_f = -0.0729 eV/atom
Offset from the most stable computed form = 183 meV/atom

Lattice parameters (Å, degrees): 6.859 3.974 6.560 90.00 90.00 90.00
Fractional coordinates of all 12 atoms:
Ho 0.250 0.000 0.159
Ho 0.750 0.000 0.841
Ni 0.000 0.000 0.500
Ni 0.057 0.500 0.819
Ni 0.250 0.500 0.492
Ni 0.443 0.500 0.819
Ni 0.500 0.000 0.500
Ni 0.557 0.500 0.181
Ni 0.750 0.500 0.508
Ni 0.943 0.500 0.181
Ir 0.250 0.000 0.748
Ir 0.750 0.000 0.252